Computed, not measured: PrThGa2Pd5 after structural relaxation at the PBE level of DFT.

a = 4.363 Å, b = 4.363 Å, c = 9.079 Å
α = 90.00°, β = 90.00°, γ = 90.00°
Space group P4/mmm (No. 123)
Inequivalent atoms, fractional coordinates:
Pr (0.000, 0.000, 0.000) (multiplicity 1)
Th (0.000, 0.000, 0.500) (multiplicity 1)
Ga (0.500, 0.500, 0.361) (multiplicity 2)
Pd (0.000, 0.500, 0.228) (multiplicity 4)
Pd (0.500, 0.500, 0.000) (multiplicity 1)

Formation energy from the elements = -752 meV/atom
DOS(E_F) = 0.687 states/eV per atom

Computed, not measured: CrP2PdCl after structural relaxation at the PBE level of DFT.

a = 4.633 Å, b = 4.633 Å, c = 4.800 Å
α = 90.00°, β = 90.00°, γ = 90.00°
Space group P4/mmm (No. 123)
Inequivalent atoms, fractional coordinates:
Cr (0.000, 0.000, 0.000) (multiplicity 1)
P (0.000, 0.500, 0.500) (multiplicity 2)
Pd (0.500, 0.500, 0.500) (multiplicity 1)
Cl (0.500, 0.500, 0.000) (multiplicity 1)

Offset from the most stable computed form = 732 meV per atom
DOS(E_F) = 1.027 states/eV per atom
Uncorrected formation energy = 1.149 eV per atom

Computed, not measured: Ce4AlAg after structural relaxation at the PBE level of DFT.

a = 7.754 Å, b = 8.962 Å, c = 5.168 Å
α = 90.00°, β = 131.76°, γ = 90.00°
Space group C2/m (No. 12)
Inequivalent atoms, fractional coordinates:
Ce (0.249, 0.167, 0.248) (multiplicity 8)
Al (0.000, 0.500, 0.000) (multiplicity 2)
Ag (0.000, 0.000, 0.500) (multiplicity 2)

Formation energy from the elements = -135 meV/atom
DOS(E_F) = 2.498 states/eV per atom

Computed, not measured: Sm12Al3In after structural relaxation at the PBE level of DFT.

a = 4.867 Å, b = 4.867 Å, c = 19.495 Å
α = 90.00°, β = 90.00°, γ = 90.00°
Space group P4/mmm (No. 123)
Inequivalent atoms, fractional coordinates:
Sm (0.000, 0.000, 0.000) (multiplicity 1)
Sm (0.000, 0.000, 0.247) (multiplicity 2)
Sm (0.000, 0.000, 0.500) (multiplicity 1)
Sm (0.000, 0.500, 0.124) (multiplicity 4)
Sm (0.000, 0.500, 0.371) (multiplicity 4)
Al (0.500, 0.500, 0.000) (multiplicity 1)
Al (0.500, 0.500, 0.248) (multiplicity 2)
In (0.500, 0.500, 0.500) (multiplicity 1)

Formation energy from the elements = -197 meV/atom
DOS(E_F) = 1.616 states/eV per atom

Computed, not measured: Ac5LaNi3 after structural relaxation at the PBE level of DFT.

a = 6.970 Å, b = 4.334 Å, c = 20.874 Å
α = 90.00°, β = 91.69°, γ = 90.00°
Space group P2/m (No. 10)
Inequivalent atoms, fractional coordinates:
Ac (0.179, 0.000, 0.429) (multiplicity 2)
Ac (0.190, 0.000, 0.764) (multiplicity 2)
Ac (0.218, 0.000, 0.105) (multiplicity 2)
Ac (0.288, 0.500, 0.935) (multiplicity 2)
Ac (0.320, 0.500, 0.598) (multiplicity 2)
La (0.308, 0.500, 0.267) (multiplicity 2)
Ni (0.000, 0.500, 0.500) (multiplicity 1)
Ni (0.015, 0.500, 0.170) (multiplicity 2)
Ni (0.487, 0.000, 0.330) (multiplicity 2)
Ni (0.500, 0.000, 0.000) (multiplicity 1)

Formation energy from the elements = -141 meV/atom
DOS(E_F) = 0.985 states/eV per atom

Computed, not measured: Na2CuIO4 after structural relaxation at the PBE level of DFT.

a = 5.261 Å, b = 5.261 Å, c = 9.103 Å
α = 90.00°, β = 90.00°, γ = 90.00°
Space group I-4 (No. 82)
Inequivalent atoms, fractional coordinates:
Na (0.000, 0.000, 0.000) (multiplicity 2)
Na (0.000, 0.500, 0.250) (multiplicity 2)
Cu (0.000, 0.000, 0.500) (multiplicity 2)
I (0.000, 0.500, 0.750) (multiplicity 2)
O (0.200, 0.742, 0.624) (multiplicity 8)

Uncorrected formation energy = -0.736 eV per atom

Computed, not measured: Er2Cd5Ag after structural relaxation at the PBE level of DFT.

a = 4.6918 Å, b = 4.6918 Å, c = 32.4281 Å
α = 90.00°, β = 90.00°, γ = 120.00°
Space group R-3m (No. 166, hexagonal axes)
Inequivalent atoms, fractional coordinates:
Er (0.0000, 0.0000, 0.0919) (multiplicity 6)
Cd (0.0000, 0.0000, 0.1970) (multiplicity 6)
Cd (0.0000, 0.0000, 0.3657) (multiplicity 6)
Cd (0.0000, 0.0000, 0.5000) (multiplicity 3)
Ag (0.0000, 0.0000, 0.0000) (multiplicity 3)

Formation energy from the elements = -42 meV/atom
DOS(E_F) = 0.495 states/eV per atom

Computed, not measured: ReRh2Br after structural relaxation at the PBE level of DFT.

a = 7.936 Å, b = 5.538 Å, c = 2.832 Å
α = 90.00°, β = 90.13°, γ = 90.00°
Space group C2/m (No. 12)
Inequivalent atoms, fractional coordinates:
Re (0.000, 0.000, 0.000) (multiplicity 2)
Rh (0.250, 0.250, 0.500) (multiplicity 4)
Br (0.000, 0.500, 0.000) (multiplicity 2)

Offset from the most stable computed form = 489 meV per atom
DOS(E_F) = 1.125 states/eV per atom
Uncorrected formation energy = 0.795 eV per atom

Computed, not measured: Sc2TlIr after structural relaxation at the PBE level of DFT.

a = 3.169 Å, b = 3.169 Å, c = 8.055 Å
α = 90.00°, β = 90.00°, γ = 90.00°
Space group P4/mmm (No. 123)
Inequivalent atoms, fractional coordinates:
Sc (0.000, 0.000, 0.208) (multiplicity 2)
Tl (0.500, 0.500, 0.500) (multiplicity 1)
Ir (0.500, 0.500, 0.000) (multiplicity 1)

Formation energy from the elements = -653 meV/atom
DOS(E_F) = 0.489 states/eV per atom

Computed, not measured: Tc2Os2Ru after structural relaxation at the PBE level of DFT.

a = 8.628 Å, b = 3.856 Å, c = 6.093 Å
α = 90.00°, β = 134.88°, γ = 90.00°
Space group C2/m (No. 12)
Inequivalent atoms, fractional coordinates:
Tc (0.096, 0.000, 0.298) (multiplicity 4)
Os (0.200, 0.500, 0.098) (multiplicity 4)
Ru (0.000, 0.500, 0.500) (multiplicity 2)

Formation energy from the elements = 69 meV/atom
Offset from the most stable computed form = 0 meV per atom
DOS(E_F) = 1.259 states/eV per atom

Computed, not measured: Pm2Al4Ni3Pt after structural relaxation at the PBE level of DFT.

a = 4.074 Å, b = 4.074 Å, c = 10.564 Å
α = 90.00°, β = 90.00°, γ = 90.00°
Space group P-4m2 (No. 115)
Inequivalent atoms, fractional coordinates:
Pm (0.000, 0.500, 0.242) (multiplicity 2)
Al (0.000, 0.000, 0.000) (multiplicity 1)
Al (0.000, 0.500, 0.633) (multiplicity 2)
Al (0.500, 0.500, 0.000) (multiplicity 1)
Ni (0.000, 0.500, 0.867) (multiplicity 2)
Ni (0.500, 0.500, 0.500) (multiplicity 1)
Pt (0.000, 0.000, 0.500) (multiplicity 1)

Formation energy from the elements = -694 meV/atom
DOS(E_F) = 0.721 states/eV per atom

Computed, not measured: LiZrAl2Re after structural relaxation at the PBE level of DFT.

a = 4.238 Å, b = 4.238 Å, c = 4.419 Å
α = 90.00°, β = 90.00°, γ = 90.00°
Space group P4/mmm (No. 123)
Inequivalent atoms, fractional coordinates:
Li (0.000, 0.000, 0.000) (multiplicity 1)
Zr (0.500, 0.500, 0.500) (multiplicity 1)
Al (0.000, 0.500, 0.000) (multiplicity 2)
Re (0.000, 0.000, 0.500) (multiplicity 1)

Formation energy from the elements = 383 meV/atom
DOS(E_F) = 0.592 states/eV per atom

These records have E_tot values of -5.665; -4.348; -5.190; -4.609; -4.898; -4.251; -2.111; -6.411; -6.625; -10.425; -5.480; -5.696 eV/atom, in the order they appear.